No. 1
{
  "formula": "RbSnGe",
  "functional": "PBE-GGA",
  "state": "relaxed",
  "cell": [[6.711, -2.122, 0.000], [6.711, 2.122, 0.000], [-2.567, 0.000, 7.926]],
  "species": ["Rb", "Rb", "Sn", "Sn", "Ge", "Ge"],
  "frac_coords": [[0.103, 0.103, 0.295], [0.897, 0.897, 0.705], [0.352, 0.352, 0.055], [0.648, 0.648, 0.945], [0.186, 0.186, 0.755], [0.814, 0.814, 0.245]],
  "n_ef_per_ev_atom": 0.2671,
  "total_magnetization_mub_per_fu": 0.00,
  "crystal_system": "monoclinic",
  "e_form_mev_per_atom": -108,
  "e_tot_ev_per_cell": -19.83
}

---

No. 2
{
  "formula": "RbSn3Ge3",
  "functional": "PBE-GGA",
  "state": "relaxed",
  "cell": [[7.718, 0.000, 0.000], [0.000, 7.718, 0.000], [0.000, 0.000, 7.718]],
  "species": ["Rb", "Rb", "Sn", "Sn", "Sn", "Sn", "Sn", "Sn", "Ge", "Ge", "Ge", "Ge", "Ge", "Ge"],
  "frac_coords": [[0.000, 0.000, 0.000], [0.500, 0.500, 0.500], [0.000, 0.250, 0.500], [0.000, 0.750, 0.500], [0.250, 0.500, 0.000], [0.500, 0.000, 0.250], [0.500, 0.000, 0.750], [0.750, 0.500, 0.000], [0.000, 0.500, 0.250], [0.000, 0.500, 0.750], [0.250, 0.000, 0.500], [0.500, 0.250, 0.000], [0.500, 0.750, 0.000], [0.750, 0.000, 0.500]],
  "n_ef_per_ev_atom": 0.2001,
  "total_magnetization_mub_per_fu": 0.00,
  "crystal_system": "cubic",
  "e_form_mev_per_atom": -16,
  "e_tot_ev_per_cell": -53.88
}

---

No. 3
{
  "formula": "Rb2SnGe",
  "functional": "PBE-GGA",
  "state": "relaxed",
  "cell": [[-2.187, 5.397, 3.608], [2.187, -5.397, 3.608], [2.187, 5.397, -3.608]],
  "species": ["Rb", "Rb", "Sn", "Ge"],
  "frac_coords": [[0.183, 0.000, 0.183], [0.817, 0.000, 0.817], [0.512, 0.512, 0.000], [0.294, 0.794, 0.500]],
  "n_ef_per_ev_atom": 0.5125,
  "total_magnetization_mub_per_fu": 0.00,
  "crystal_system": "orthorhombic",
  "e_form_mev_per_atom": -121,
  "e_tot_ev_per_cell": -11.04
}

---

No. 4
{
  "formula": "Rb2SnGe2",
  "functional": "PBE-GGA",
  "state": "relaxed",
  "cell": [[4.250, -6.251, 0.000], [4.250, 6.251, 0.000], [-3.482, 0.000, 7.649]],
  "species": ["Rb", "Rb", "Rb", "Rb", "Sn", "Sn", "Ge", "Ge", "Ge", "Ge"],
  "frac_coords": [[0.081, 0.389, 0.263], [0.389, 0.081, 0.263], [0.611, 0.919, 0.737], [0.919, 0.611, 0.737], [0.374, 0.626, 0.000], [0.626, 0.374, 0.000], [0.183, 0.183, 0.853], [0.347, 0.347, 0.677], [0.653, 0.653, 0.323], [0.817, 0.817, 0.147]],
  "total_magnetization_mub_per_fu": 0.00,
  "crystal_system": "monoclinic",
  "e_form_mev_per_atom": -69,
  "e_tot_ev_per_cell": -31.03
}